No. 1
A geometry-optimized Ti2Mn4Fe structure, computed with PBE.

POSCAR file:
```
Ti2Mn4Fe
1.0
-2.0758 2.0758 6.5730
2.0758 -2.0758 6.5730
2.0758 2.0758 -6.5730
Ti Mn Fe
2 4 1
Direct
0.1082 0.1082 0.0000 Ti
0.8918 0.8918 0.0000 Ti
0.0000 0.5000 0.5000 Mn
0.3159 0.3159 0.0000 Mn
0.5000 0.0000 0.5000 Mn
0.6841 0.6841 0.0000 Mn
0.5000 0.5000 0.0000 Fe
```

Calculated values
Space-group type: I4/mmm, No. 139
Crystal system: tetragonal
D(E_F) (states/eV/cell): 8.7
Electronic total energy (eV/atom): -8.02
Calculated formation energy (eV/atom): 0.686
M_tot (Bohr magnetons per cell): 7.16
Calculated density (Mg/m³): 5.44

No. 2
A geometry-optimized RbTl2IrAu structure, computed with PBE.

POSCAR file:
```
RbTl2IrAu
1.0
5.2727 0.0000 0.0000
0.0000 5.2727 0.0000
0.0000 0.0000 5.4995
Rb Tl Ir Au
1 2 1 1
Direct
0.0000 0.0000 0.0000 Rb
0.0000 0.5000 0.5000 Tl
0.5000 0.0000 0.5000 Tl
0.5000 0.5000 0.5000 Ir
0.5000 0.5000 0.0000 Au
```

Calculated values
Space-group type: P4/mmm, No. 123
Crystal system: tetragonal
D(E_F) (states/eV/cell): 1.7
Electronic total energy (eV/atom): -3.55
Calculated formation energy (eV/atom): 0.022
M_tot (Bohr magnetons per cell): 0.00
Calculated density (Mg/m³): 9.59

No. 3
A geometry-optimized Ac2LaGa4Pd3 structure, computed with PBE.

POSCAR file:
```
Ac2LaGa4Pd3
1.0
4.4513 0.0000 0.0000
0.0000 4.4513 0.0000
0.0000 0.0000 11.8411
Ac La Ga Pd
2 1 4 3
Direct
0.0000 0.5000 0.2235 Ac
0.5000 0.0000 0.7765 Ac
0.0000 0.0000 0.5000 La
0.0000 0.0000 0.0000 Ga
0.0000 0.5000 0.6748 Ga
0.5000 0.0000 0.3252 Ga
0.5000 0.5000 0.0000 Ga
0.0000 0.5000 0.8876 Pd
0.5000 0.0000 0.1124 Pd
0.5000 0.5000 0.5000 Pd
```

Calculated values
Space-group type: P-4m2, No. 115
Crystal system: tetragonal
D(E_F) (states/eV/cell): 9.3
Electronic total energy (eV/atom): -4.77
Calculated formation energy (eV/atom): -0.683
M_tot (Bohr magnetons per cell): 0.00
Calculated density (Mg/m³): 8.43

No. 4
A geometry-optimized Nd2Al5Rh structure, computed with PBE.

POSCAR file:
```
Nd2Al5Rh
1.0
-3.0995 3.0995 4.5829
3.0995 -3.0995 4.5829
3.0995 3.0995 -4.5829
Nd Al Rh
2 5 1
Direct
0.0000 0.5000 0.5000 Nd
0.5000 0.0000 0.5000 Nd
0.0321 0.0321 0.5588 Al
0.0321 0.4734 0.0000 Al
0.4734 0.0321 0.0000 Al
0.4734 0.4734 0.4412 Al
0.4739 0.4739 0.0000 Al
0.7376 0.7376 0.0000 Rh
```

Calculated values
Space-group type: I4mm, No. 107
Crystal system: tetragonal
D(E_F) (states/eV/cell): 4.2
Electronic total energy (eV/atom): -4.90
Calculated formation energy (eV/atom): -0.454
M_tot (Bohr magnetons per cell): 0.00
Calculated density (Mg/m³): 4.96